A relaxed Sc3FeGe crystal. Source: Alexandria, functional PBE.

Its space group is Pm-3m. The value obtained for the total moment is 0.492 μB per formula unit. Its total energy is -5.785 eV per atom. For the distance to the lowest polymorph of the same formula, the calculation gives 666 meV per atom. For the density, the calculation gives 3.5 Mg/m³.

a = 4.980 Å, b = 4.980 Å, c = 4.980 Å
α = 90.00°, β = 90.00°, γ = 90.00°
Positions (direct):
Ge  0.000  0.000  0.000
Sc  0.500  0.000  0.000
Fe  0.500  0.500  0.500
Sc  0.000  0.500  0.000
Sc  0.000  0.000  0.500

A relaxed BaZr3I crystal. Source: Alexandria, functional PBE.

The energy relative to the elements, uncorrected is 0.70 eV/atom. Its space group is Pm-3m. The value obtained for the total moment is 0.000 μB per formula unit. Its total energy is -5.121 eV per atom. For the distance to the lowest polymorph of the same formula, the calculation gives 0 meV per atom. For the density, the calculation gives 5.5 Mg/m³.

a = 5.449 Å, b = 5.449 Å, c = 5.449 Å
α = 90.00°, β = 90.00°, γ = 90.00°
Positions (direct):
Zr  0.000  0.500  0.000
Zr  0.000  0.000  0.500
Ba  0.500  0.500  0.500
I  0.000  0.000  0.000
Zr  0.500  0.000  0.000

A relaxed Ac4PSe2 crystal. Source: Alexandria, functional PBE.

The energy relative to the elements, uncorrected is -1.41 eV/atom. Its space group is C2/m. The value obtained for the total moment is 0.006 μB per formula unit. Its total energy is -5.522 eV per atom. For the density, the calculation gives 7.4 Mg/m³.

a = 4.358 Å, b = 8.653 Å, c = 7.534 Å
α = 64.21°, β = 89.98°, γ = 75.38°
Positions (direct):
Ac  0.120  0.760  0.446
Ac  0.619  0.763  0.959
P  0.000  0.000  0.000
Se  0.254  0.491  0.253
Se  0.746  0.509  0.747
Ac  0.381  0.237  0.041
Ac  0.880  0.240  0.554

A relaxed K2RbInAg crystal. Source: Alexandria, functional PBE.

Its space group is P4/mmm. The value obtained for the total moment is 0.000 μB per formula unit. Its total energy is -1.399 eV per atom. For the distance to the lowest polymorph of the same formula, the calculation gives 323 meV per atom. For the density, the calculation gives 2.1 Mg/m³.

a = 6.685 Å, b = 6.928 Å, c = 6.685 Å
α = 90.00°, β = 90.00°, γ = 90.00°
Positions (direct):
K  0.500  0.000  0.000
In  0.000  0.000  0.000
K  0.000  0.000  0.500
Ag  0.500  0.500  0.500
Rb  0.000  0.500  0.000

A relaxed La6Ge2AsCl3 crystal. Source: Alexandria, functional PBE.

The energy relative to the elements, uncorrected is -1.45 eV/atom. Its space group is C2/m. The value obtained for the total moment is 0.000 μB per formula unit. Its total energy is -5.534 eV per atom. For the density, the calculation gives 5.6 Mg/m³.

a = 7.579 Å, b = 7.579 Å, c = 7.336 Å
α = 99.89°, β = 99.89°, γ = 120.07°
Positions (direct):
Ge  0.667  0.333  0.000
La  0.921  0.587  0.763
Ge  0.333  0.667  0.000
Cl  0.500  0.500  0.500
La  0.587  0.921  0.763
Cl  0.832  0.168  0.500
La  0.079  0.413  0.237
Cl  0.168  0.832  0.500
La  0.256  0.256  0.763
La  0.413  0.079  0.237
La  0.744  0.744  0.237
As  0.000  0.000  0.000

A relaxed KCa2FeAs crystal. Source: Alexandria, functional PBE.

Its space group is P4/mmm. The value obtained for the total moment is 1.949 μB per formula unit. Its total energy is -2.398 eV per atom. For the density, the calculation gives 2.8 Mg/m³.

a = 5.659 Å, b = 4.550 Å, c = 5.659 Å
α = 90.00°, β = 90.00°, γ = 90.00°
Positions (direct):
K  0.000  0.000  0.000
As  0.500  0.500  0.500
Ca  0.000  0.000  0.500
Fe  0.000  0.500  0.000
Ca  0.500  0.000  0.000

A relaxed Sr2Mo4Rh crystal. Source: Alexandria, functional PBE.

Its space group is I4/mmm. The value obtained for the total moment is 3.171 μB per formula unit. Its total energy is -6.140 eV per atom. For the density, the calculation gives 5.7 Mg/m³.

a = 4.833 Å, b = 4.833 Å, c = 8.901 Å
α = 74.25°, β = 74.25°, γ = 90.00°
Positions (direct):
Sr  0.649  0.649  0.702
Mo  0.150  0.150  0.701
Rh  0.000  0.000  0.000
Mo  0.850  0.850  0.299
Mo  0.500  0.000  0.000
Sr  0.351  0.351  0.298
Mo  0.000  0.500  0.000

A relaxed PmNdY2 crystal. Source: Alexandria, functional PBE.

Its space group is R-3m. The value obtained for the total moment is 0.000 μB per formula unit. Its total energy is -5.602 eV per atom. For the distance to the lowest polymorph of the same formula, the calculation gives 0 meV per atom. For the density, the calculation gives 5.8 Mg/m³.

a = 3.624 Å, b = 3.624 Å, c = 11.914 Å
α = 81.25°, β = 81.25°, γ = 60.00°
Positions (direct):
Nd  0.500  0.500  0.500
Y  0.750  0.750  0.751
Y  0.250  0.250  0.249
Pm  0.000  0.000  0.000

> total moment of number 6 (KCa2FeAs)?

1.949 μB per formula unit